Record 1
Computed, not measured: an optimized crystal structure of Nd3Si2Pt at the GGA-PBE level of DFT.

Its space group is Pnma, No. 62. For the formation energy without anion corrections, the calculation gives -81.6 kJ/mol of atoms.

abc: 4.3348 11.7983 11.8105
angles: 90.00 90.00 90.00
Fractional positions:
Nd 0.2500 0.3787 0.0597
Nd 0.7500 0.6213 0.9403
Nd 0.7500 0.8787 0.4403
Nd 0.2500 0.1213 0.5597
Nd 0.2500 0.6927 0.2061
Nd 0.7500 0.3073 0.7939
Nd 0.7500 0.1927 0.2939
Nd 0.2500 0.8073 0.7061
Nd 0.2500 0.4402 0.3824
Nd 0.7500 0.5598 0.6176
Nd 0.7500 0.9402 0.1176
Nd 0.2500 0.0598 0.8824
Si 0.2500 0.6895 0.4731
Si 0.7500 0.3105 0.5269
Si 0.7500 0.1895 0.0269
Si 0.2500 0.8105 0.9731
Si 0.2500 0.0052 0.3048
Si 0.7500 0.9948 0.6952
Si 0.7500 0.5052 0.1952
Si 0.2500 0.4948 0.8048
Pt 0.2500 0.1349 0.1300
Pt 0.7500 0.8651 0.8700
Pt 0.7500 0.6349 0.3700
Pt 0.2500 0.3651 0.6300

=====

Record 2
Computed, not measured: an optimized crystal structure of Nd8SiPt2 at the GGA-PBE level of DFT.

Its space group is Cm, No. 8. For the formation energy without anion corrections, the calculation gives -42.4 kJ/mol of atoms.

abc: 6.4372 7.8108 7.8108
angles: 113.15 101.10 101.10
Fractional positions:
Nd 0.5865 0.3421 0.0813
Nd 0.5865 0.0813 0.3421
Nd 0.1770 0.3639 0.3639
Nd 0.9769 0.2111 0.7893
Nd 0.9769 0.7893 0.2111
Nd 0.8044 0.6540 0.6540
Nd 0.3618 0.9215 0.6562
Nd 0.3618 0.6562 0.9215
Si 0.1858 0.0067 0.0067
Pt 0.4911 0.6881 0.3197
Pt 0.4911 0.3197 0.6881